Entry 1:
## LaIn2Re (PBE)

Data for a geometry-optimized LaIn2Re structure.

Lattice parameters (Å, degrees): 4.3552 4.3552 4.9259 90.00 90.00 90.00
With the nearest neighbours (Å) after each atom.
Sites, in units of the cell vectors:
In (0.0000, 0.0000, 0.0000)  4 In 3.08, 4 Re 3.29, 4 La 3.29
In (0.5000, 0.5000, 0.0000)  4 In 3.08, 4 La 3.29, 4 Re 3.29
La (0.5000, 0.0000, 0.5000)  4 Re 3.08, 8 In 3.29
Re (0.0000, 0.5000, 0.5000)  4 La 3.08, 8 In 3.29

Fermi-level density of states, states/eV per cell: 4.70
Energy relative to the elements, eV/atom: 0.337
Raw total energy, eV per cell: -21.50
Total moment, μB/f.u.: 0.8
Excess energy over the best structure of this formula in the dataset, meV per atom: 157



Entry 2:
## SnPd3Pb (PBE)

Data for a geometry-optimized SnPd3Pb structure.

Lattice parameters (Å, degrees): 5.0678 5.0678 5.0678 90.00 90.00 90.00
With the nearest neighbours (Å) after each atom.
Sites, in units of the cell vectors:
Pb (0.0000, 0.0000, 0.0000)  6 Pd 2.53
Sn (0.5000, 0.5000, 0.5000)  12 Pd 3.58
Pd (0.0000, 0.5000, 0.0000)  2 Pb 2.53
Pd (0.0000, 0.0000, 0.5000)  2 Pb 2.53
Pd (0.5000, 0.0000, 0.0000)  2 Pb 2.53

Fermi-level density of states, states/eV per cell: 2.47
Energy relative to the elements, eV/atom: 0.530
Raw total energy, eV per cell: -20.64
Total moment, μB/f.u.: 0.0
Excess energy over the best structure of this formula in the dataset, meV per atom: 855